1.
A geometry-optimized Pm12Sm5Al2 structure. Source: Alexandria, functional PBE.

Results
ΔH_f (0 K): 0.058 eV/atom
crystal system: monoclinic

abc: 9.8827 9.8827 9.0213
angles: 106.77 106.77 48.26
Sites, in units of the cell vectors:
Pm1 0.0177 0.0177 0.1916
Pm2 0.1130 0.5803 0.0301
Pm3 0.1647 0.5646 0.6344
Pm4 0.4197 0.8870 0.9699
Pm5 0.4354 0.8353 0.3656
Pm6 0.4486 0.4486 0.3326
Pm7 0.5514 0.5514 0.6674
Pm8 0.5646 0.1647 0.6344
Pm9 0.5803 0.1130 0.0301
Pm10 0.8353 0.4354 0.3656
Pm11 0.8870 0.4197 0.9699
Pm12 0.9823 0.9823 0.8084
Sm1 0.1855 0.1855 0.6692
Sm2 0.2500 0.2500 0.2814
Sm3 0.5000 0.5000 0.0000
Sm4 0.7500 0.7500 0.7186
Sm5 0.8145 0.8145 0.3308
Al1 0.1615 0.8385 0.5000
Al2 0.8385 0.1615 0.5000

---

2.
A geometry-optimized Na4AgAu3 structure. Source: Alexandria, functional PBE.

Results
ΔH_f (0 K): -0.199 eV/atom
crystal system: monoclinic

abc: 4.3539 4.3539 9.2894
angles: 103.34 103.34 90.27
Sites, in units of the cell vectors:
Na1 0.1270 0.6271 0.7537
Na2 0.3729 0.8730 0.2463
Na3 0.6271 0.1270 0.7537
Na4 0.8730 0.3729 0.2463
Ag1 0.0000 0.0000 0.5000
Au1 0.2485 0.2485 0.9973
Au2 0.5000 0.5000 0.5000
Au3 0.7515 0.7515 0.0027

---

3.
A geometry-optimized Be3In structure. Source: Alexandria, functional PBE.

Results
ΔH_f (0 K): 0.702 eV/atom
relative energy among the computed polymorphs: 469.7 meV/atom
crystal system: hexagonal

abc: 2.9015 2.9015 7.4984
angles: 90.00 90.00 120.00
Sites, in units of the cell vectors:
Be1 0.0000 0.0000 0.0000
Be2 0.3333 0.6667 0.1949
Be3 0.3333 0.6667 0.8051
In1 0.0000 0.0000 0.5000

---

4.
A geometry-optimized Ag2PPt structure. Source: Alexandria, functional PBE.

Results
ΔH_f (0 K): 0.216 eV/atom
crystal system: trigonal

abc: 9.1453 9.1453 9.1453
angles: 18.30 18.30 18.30
Sites, in units of the cell vectors:
Ag1 0.2466 0.2466 0.2466
Ag2 0.7534 0.7534 0.7534
P1 0.5000 0.5000 0.5000
Pt1 0.0000 0.0000 0.0000

---

no.,size of the total moment (μB per cell)
1,0.00
2,0.00
3,0.00
4,0.00